[1]
# La2PmPr2Er PBE optimized geometry
# Fermi-level density of states = 17.6 states/eV per cell
# DFT formation energy = 0.051 eV per atom
data_La2PmPr2Er
_chemical_formula_sum 'La4 Pm2 Pr4 Er2'
_cell_length_a 5.812
_cell_length_b 10.104
_cell_length_c 7.164
_cell_angle_alpha 90.00
_cell_angle_beta 90.00
_cell_angle_gamma 90.00
_symmetry_space_group_name_H-M 'P 1'
_symmetry_Int_Tables_number 1
loop_
_symmetry_equiv_pos_as_xyz
'x,y,z'
loop_
_atom_site_label
_atom_site_type_symbol
_atom_site_fract_x
_atom_site_fract_y
_atom_site_fract_z
La1 La 0.000 0.001 0.000
La2 La 0.000 0.999 0.500
La3 La 0.500 0.173 0.250
La4 La 0.500 0.827 0.750
Pm1 Pm 0.500 0.500 0.000
Pm2 Pm 0.500 0.500 0.500
Pr1 Pr 0.000 0.332 0.250
Pr2 Pr 0.000 0.668 0.750
Pr3 Pr 0.500 0.165 0.750
Pr4 Pr 0.500 0.835 0.250
Er1 Er 0.000 0.339 0.750
Er2 Er 0.000 0.661 0.250

=====

[2]
# La2Pm5PrEr PBE optimized geometry
# Fermi-level density of states = 29.3 states/eV per cell
# DFT formation energy = 0.239 eV per atom
data_La2Pm5PrEr
_chemical_formula_sum 'La4 Pm10 Pr2 Er2'
_cell_length_a 8.798
_cell_length_b 8.798
_cell_length_c 8.209
_cell_angle_alpha 90.00
_cell_angle_beta 90.00
_cell_angle_gamma 90.00
_symmetry_space_group_name_H-M 'P 1'
_symmetry_Int_Tables_number 1
loop_
_symmetry_equiv_pos_as_xyz
'x,y,z'
loop_
_atom_site_label
_atom_site_type_symbol
_atom_site_fract_x
_atom_site_fract_y
_atom_site_fract_z
La1 La 0.119 0.381 0.000
La2 La 0.381 0.881 0.000
La3 La 0.619 0.119 0.000
La4 La 0.881 0.619 0.000
Pm1 Pm 0.000 0.000 0.000
Pm2 Pm 0.217 0.717 0.282
Pm3 Pm 0.217 0.717 0.718
Pm4 Pm 0.283 0.217 0.282
Pm5 Pm 0.283 0.217 0.718
Pm6 Pm 0.500 0.500 0.000
Pm7 Pm 0.717 0.783 0.282
Pm8 Pm 0.717 0.783 0.718
Pm9 Pm 0.783 0.283 0.282
Pm10 Pm 0.783 0.283 0.718
Pr1 Pr 0.000 0.000 0.500
Pr2 Pr 0.500 0.500 0.500
Er1 Er 0.000 0.500 0.500
Er2 Er 0.500 0.000 0.500

=====

[3]
# La2PmPr5Er PBE optimized geometry
# Fermi-level density of states = 28.0 states/eV per cell
# DFT formation energy = 0.246 eV per atom
data_La2PmPr5Er
_chemical_formula_sum 'La4 Pm2 Pr10 Er2'
_cell_length_a 10.429
_cell_length_b 10.429
_cell_length_c 10.429
_cell_angle_alpha 130.20
_cell_angle_beta 130.20
_cell_angle_gamma 73.09
_symmetry_space_group_name_H-M 'P 1'
_symmetry_Int_Tables_number 1
loop_
_symmetry_equiv_pos_as_xyz
'x,y,z'
loop_
_atom_site_label
_atom_site_type_symbol
_atom_site_fract_x
_atom_site_fract_y
_atom_site_fract_z
La1 La 0.120 0.620 0.741
La2 La 0.380 0.120 0.500
La3 La 0.620 0.880 0.500
La4 La 0.880 0.380 0.259
Pm1 Pm 0.250 0.250 0.000
Pm2 Pm 0.750 0.750 0.000
Pr1 Pr 0.000 0.000 0.000
Pr2 Pr 0.076 0.136 0.500
Pr3 Pr 0.136 0.636 0.060
Pr4 Pr 0.364 0.424 0.500
Pr5 Pr 0.424 0.924 0.060
Pr6 Pr 0.500 0.500 0.000
Pr7 Pr 0.576 0.076 0.940
Pr8 Pr 0.636 0.576 0.500
Pr9 Pr 0.864 0.364 0.940
Pr10 Pr 0.924 0.864 0.500
Er1 Er 0.250 0.750 0.500
Er2 Er 0.750 0.250 0.500